(1)
# BaLa2H

A relaxed structure of BaLa2H (GGA-PBE, Alexandria).

Cell lengths 5.607, 5.607, 5.607 Å; angles 60.00, 60.00, 60.00 degrees
Fractional positions:
H 0.000 0.000 0.000
La 0.750 0.750 0.750
Ba 0.500 0.500 0.500
La 0.250 0.250 0.250

## Properties
Raw total energy: -0.1107 hartree per atom
SG: No. 225

=====

(2)
# SrLa

A relaxed structure of SrLa (GGA-PBE, Alexandria).

Cell lengths 5.030, 5.030, 5.030 Å; angles 60.00, 60.00, 60.00 degrees
Fractional positions:
La 0.000 0.000 0.000
Sr 0.500 0.500 0.500

## Properties
Formation energy: 0.6973 eV/atom
SG: No. 225

=====

(3)
# Pm12SmRh6

A relaxed structure of Pm12SmRh6 (GGA-PBE, Alexandria).

Cell lengths 8.590, 8.590, 8.590 Å; angles 105.64, 105.64, 105.64 degrees
Fractional positions:
Rh 0.303 0.742 0.742
Rh 0.258 0.258 0.697
Pm 0.440 0.440 0.180
Rh 0.697 0.258 0.258
Pm 0.180 0.440 0.440
Rh 0.258 0.697 0.258
Pm 0.878 0.500 0.122
Pm 0.440 0.180 0.440
Pm 0.122 0.878 0.500
Pm 0.500 0.122 0.878
Pm 0.560 0.560 0.820
Pm 0.122 0.500 0.878
Rh 0.742 0.303 0.742
Pm 0.820 0.560 0.560
Sm 0.000 0.000 0.000
Rh 0.742 0.742 0.303
Pm 0.500 0.878 0.122
Pm 0.878 0.122 0.500
Pm 0.560 0.820 0.560

## Properties
Formation energy: -0.3792 eV/atom
SG: No. 166

=====

(4)
# Ca3ThTe4

A relaxed structure of Ca3ThTe4 (GGA-PBE, Alexandria).

Cell lengths 4.415, 7.827, 7.827 Å; angles 108.78, 90.00, 90.00 degrees
Fractional positions:
Ca 0.000 0.000 0.500
Te 0.000 0.254 0.254
Ca 0.000 0.500 0.000
Th 0.500 0.000 0.000
Te 0.500 0.251 0.749
Te 0.000 0.746 0.746
Te 0.500 0.749 0.251
Ca 0.500 0.500 0.500

## Properties
Raw formation energy: -1.428 eV per atom
SG: No. 65

=====

Quick rundown of magnetic moment, same order as above: 1.00, 0.01, 0.00, 0.00 μB per cell